1.
A relaxed LiMg3Ga crystal, computed with GGA-PBE.

Energy relative to the elements = -0.102 eV per atom
Total DFT energy (no corrections) = -0.150 Ry/atom
M_tot = 0.00 μB/f.u.
Relative energy among the computed polymorphs = 31 meV per atom

Cell and atoms, written as POSCAR:
```
LiMg3Ga
1.0
-4.797 0.971 0.143
-1.407 -6.178 -5.193
-0.796 -4.351 2.848
Ga Mg Li
2 6 2
direct
0.043 0.650 0.251
0.043 0.060 0.048
0.543 0.470 0.513
0.543 0.256 0.106
0.043 0.256 0.456
0.043 0.835 0.676
0.543 0.054 0.720
0.543 0.856 0.309
0.043 0.458 0.859
0.544 0.648 0.939
```

=====

2.
A relaxed LiMg5Ga3 crystal, computed with GGA-PBE.

Energy relative to the elements = 0.008 eV per atom
Total DFT energy (no corrections) = -0.154 Ry/atom
M_tot = 0.00 μB/f.u.
Relative energy among the computed polymorphs = 148 meV per atom

Cell and atoms, written as POSCAR:
```
LiMg5Ga3
1.0
-4.534 5.220 -0.117
0.264 0.239 6.906
3.586 9.707 4.436
Mg Ga Li
10 6 2
direct
0.271 0.729 0.000
0.442 0.963 0.367
0.963 0.442 0.367
0.558 0.037 0.633
0.364 0.364 0.431
0.037 0.558 0.633
0.729 0.271 0.000
0.668 0.668 0.071
0.332 0.332 0.929
0.636 0.636 0.569
0.000 0.000 0.000
0.280 0.280 0.718
0.000 0.000 0.500
0.316 0.316 0.191
0.684 0.684 0.809
0.720 0.720 0.282
0.004 0.004 0.256
0.996 0.996 0.744
```

=====

3.
A relaxed Li2MgGa crystal, computed with GGA-PBE.

Energy relative to the elements = -0.174 eV per atom
Total DFT energy (no corrections) = -0.168 Ry/atom
M_tot = 0.00 μB/f.u.

Cell and atoms, written as POSCAR:
```
Li2MgGa
1.0
4.222 0.000 0.000
0.000 4.114 0.000
0.000 0.000 4.114
Ga Li Mg
1 2 1
direct
0.500 0.000 0.000
0.000 0.500 0.000
0.000 0.000 0.500
0.500 0.500 0.500
```

=====

4.
A relaxed Li5Mg4Ga crystal, computed with GGA-PBE.

Energy relative to the elements = -0.033 eV per atom
Total DFT energy (no corrections) = -0.142 Ry/atom
M_tot = 0.00 μB/f.u.
Relative energy among the computed polymorphs = 0 meV per atom

Cell and atoms, written as POSCAR:
```
Li5Mg4Ga
1.0
5.071 0.000 0.000
2.535 6.252 0.000
2.535 0.000 6.252
Mg Li Ga
4 5 1
direct
0.437 0.683 0.316
0.121 0.316 0.317
0.754 0.684 0.683
0.437 0.317 0.684
0.781 0.000 0.358
0.696 0.000 0.000
0.139 0.642 0.000
0.140 0.000 0.642
0.781 0.358 0.000
0.224 0.000 0.000
```

=====

5.
A relaxed Li5Mg2Ga2 crystal, computed with GGA-PBE.

Energy relative to the elements = -0.128 eV per atom
Total DFT energy (no corrections) = -0.163 Ry/atom
M_tot = 0.00 μB/f.u.
Relative energy among the computed polymorphs = 0 meV per atom

Cell and atoms, written as POSCAR:
```
Li5Mg2Ga2
1.0
-2.079 -4.047 0.567
6.291 -5.422 2.901
-2.022 -0.360 8.554
Li Mg Ga
10 4 4
direct
0.719 0.548 0.161
0.427 0.452 0.839
0.119 0.289 0.624
0.532 0.876 0.211
0.322 0.072 0.428
0.619 0.124 0.789
0.927 0.339 0.952
0.032 0.711 0.376
0.822 0.928 0.572
0.219 0.661 0.048
0.075 0.000 0.000
0.575 0.500 0.500
0.323 0.800 0.700
0.823 0.200 0.300
0.219 0.412 0.296
0.928 0.588 0.704
0.719 0.796 0.912
0.428 0.204 0.088
```

=====

6.
A relaxed Li2Mg2Ga3 crystal, computed with GGA-PBE.

Energy relative to the elements = -0.154 eV per atom
Total DFT energy (no corrections) = -0.180 Ry/atom
M_tot = 0.00 μB/f.u.
Relative energy among the computed polymorphs = 32 meV per atom

Cell and atoms, written as POSCAR:
```
Li2Mg2Ga3
1.0
-3.374 -0.034 2.714
4.347 -2.579 1.918
0.440 6.494 0.629
Mg Ga Li
2 3 2
direct
0.149 0.298 0.766
0.851 0.702 0.234
0.612 0.225 0.437
0.388 0.775 0.563
0.500 0.000 0.000
0.137 0.273 0.212
0.863 0.727 0.788
```

=====

7.
A relaxed LiMg4Ga3 crystal, computed with GGA-PBE.

Energy relative to the elements = -0.149 eV per atom
Total DFT energy (no corrections) = -0.171 Ry/atom
M_tot = 0.00 μB/f.u.

Cell and atoms, written as POSCAR:
```
LiMg4Ga3
1.0
-1.817 -3.817 -1.667
3.389 -0.297 -3.013
3.159 -1.940 7.194
Mg Ga Li
4 3 1
direct
0.374 0.374 0.748
0.626 0.626 0.252
0.126 0.125 0.252
0.874 0.875 0.748
0.747 0.247 0.493
0.000 0.500 0.000
0.253 0.753 0.507
0.500 0.000 0.000
```

=====

8.
A relaxed LiMgGa3 crystal, computed with GGA-PBE.

Energy relative to the elements = -0.152 eV per atom
Total DFT energy (no corrections) = -0.196 Ry/atom
M_tot = 0.00 μB/f.u.
Relative energy among the computed polymorphs = 27 meV per atom

Cell and atoms, written as POSCAR:
```
LiMgGa3
1.0
4.272 0.000 -0.965
-0.159 5.433 -0.703
-0.400 -0.706 8.167
Mg Li Ga
2 2 6
direct
0.419 0.156 0.838
0.581 0.844 0.162
0.216 0.175 0.432
0.784 0.825 0.568
0.642 0.368 0.283
0.820 0.330 0.640
0.035 0.272 0.070
0.358 0.632 0.717
0.180 0.670 0.360
0.965 0.728 0.930
```

=====

9.
A relaxed Li7MgGa2 crystal, computed with GGA-PBE.

Energy relative to the elements = 0.107 eV per atom
Total DFT energy (no corrections) = -0.147 Ry/atom
M_tot = 0.00 μB/f.u.

Cell and atoms, written as POSCAR:
```
Li7MgGa2
1.0
-3.251 -3.726 0.600
5.529 -5.012 -1.159
-2.035 2.854 6.690
Li Mg Ga
7 1 2
direct
0.500 0.298 0.065
0.000 0.761 0.239
0.500 0.702 0.935
0.500 0.935 0.702
0.500 0.500 0.500
0.500 0.065 0.298
0.000 0.239 0.761
0.000 0.000 0.000
0.500 0.711 0.289
0.500 0.289 0.711
```

=====

10.
A relaxed Li5MgGa6 crystal, computed with GGA-PBE.

Energy relative to the elements = -0.251 eV per atom
Total DFT energy (no corrections) = -0.198 Ry/atom
M_tot = 0.00 μB/f.u.

Cell and atoms, written as POSCAR:
```
Li5MgGa6
1.0
4.231 -0.004 -1.323
-0.731 6.182 -2.355
0.016 -0.650 7.693
Li Ga Mg
5 6 1
direct
0.328 0.328 0.656
0.672 0.672 0.344
0.660 0.160 0.320
0.340 0.840 0.680
0.000 0.500 0.000
0.829 0.564 0.657
0.500 0.274 0.000
0.171 0.436 0.343
0.500 0.726 0.000
0.171 0.907 0.343
0.829 0.093 0.657
0.000 0.000 0.000
```

=====

11.
A relaxed LiMg3Ga4 crystal, computed with GGA-PBE.

Energy relative to the elements = -0.174 eV per atom
Total DFT energy (no corrections) = -0.186 Ry/atom
M_tot = 0.00 μB/f.u.
Relative energy among the computed polymorphs = 0 meV per atom

Cell and atoms, written as POSCAR:
```
LiMg3Ga4
1.0
3.353 0.000 0.000
0.000 3.353 0.000
0.000 0.000 13.118
Ga Mg Li
4 3 1
direct
0.000 0.000 0.109
0.000 0.000 0.369
0.000 0.000 0.891
0.000 0.000 0.631
0.500 0.500 0.239
0.500 0.500 0.500
0.500 0.500 0.761
0.500 0.500 0.000
```

=====

12.
A relaxed Li2Mg5Ga5 crystal, computed with GGA-PBE.

Energy relative to the elements = -0.136 eV per atom
Total DFT energy (no corrections) = -0.175 Ry/atom
M_tot = 0.00 μB/f.u.

Cell and atoms, written as POSCAR:
```
Li2Mg5Ga5
1.0
4.473 0.000 0.000
-2.237 5.394 -0.371
0.000 -3.427 9.828
Mg Ga Li
5 5 2
direct
0.658 0.316 0.003
0.609 0.217 0.265
0.342 0.684 0.997
0.391 0.783 0.735
0.500 0.000 0.500
0.259 0.518 0.222
0.828 0.656 0.543
0.741 0.482 0.778
0.000 0.000 0.000
0.172 0.344 0.457
0.915 0.829 0.258
0.085 0.171 0.742
```

=====

13.
A relaxed Li6Mg8Ga crystal, computed with GGA-PBE.

Energy relative to the elements = 0.027 eV per atom
Total DFT energy (no corrections) = -0.132 Ry/atom
M_tot = 0.00 μB/f.u.
Relative energy among the computed polymorphs = 0 meV per atom

Cell and atoms, written as POSCAR:
```
Li6Mg8Ga
1.0
-4.161 1.237 -4.624
2.142 -6.513 -3.670
-5.804 -0.181 5.174
Ga Mg Li
1 8 6
direct
0.500 0.000 0.000
0.179 0.969 0.734
0.012 0.667 0.333
0.821 0.734 0.765
0.821 0.235 0.969
0.179 0.765 0.031
0.179 0.266 0.235
0.988 0.333 0.667
0.821 0.031 0.266
0.636 0.419 0.342
0.364 0.581 0.658
0.636 0.658 0.078
0.364 0.342 0.922
0.364 0.078 0.419
0.636 0.922 0.581
```

=====

14.
A relaxed Li5Mg4Ga2 crystal, computed with GGA-PBE.

Energy relative to the elements = -0.110 eV per atom
Total DFT energy (no corrections) = -0.155 Ry/atom
M_tot = 0.00 μB/f.u.

Cell and atoms, written as POSCAR:
```
Li5Mg4Ga2
1.0
-1.181 -1.801 -2.101
5.638 1.549 -4.497
4.641 -7.603 3.910
Mg Li Ga
4 5 2
direct
0.500 0.278 0.446
0.500 0.722 0.554
0.500 0.158 0.889
0.500 0.842 0.111
0.000 0.500 0.000
0.000 0.796 0.828
0.000 0.204 0.172
0.000 0.573 0.298
0.000 0.427 0.702
0.000 0.942 0.363
0.000 0.058 0.637
```

=====

15.
A relaxed LiMg6Ga12 crystal, computed with GGA-PBE.

Energy relative to the elements = -0.083 eV per atom
Total DFT energy (no corrections) = -0.191 Ry/atom
M_tot = 0.00 μB/f.u.

Cell and atoms, written as POSCAR:
```
LiMg6Ga12
1.0
-6.114 -3.755 -0.370
2.034 -4.070 -5.561
1.825 -4.777 5.047
Mg Ga Li
6 12 1
direct
0.289 0.261 0.879
0.121 0.711 0.261
0.879 0.289 0.739
0.261 0.121 0.289
0.739 0.879 0.711
0.711 0.739 0.121
0.050 0.635 0.864
0.365 0.864 0.950
0.460 0.792 0.461
0.950 0.365 0.136
0.461 0.460 0.208
0.208 0.461 0.540
0.792 0.539 0.460
0.136 0.950 0.635
0.540 0.208 0.539
0.864 0.050 0.365
0.539 0.540 0.792
0.635 0.136 0.050
0.000 0.000 0.000
```

=====

16.
A relaxed LiMg3Ga4 crystal, computed with GGA-PBE.

Energy relative to the elements = -0.093 eV per atom
Total DFT energy (no corrections) = -0.180 Ry/atom
M_tot = 0.00 μB/f.u.
Relative energy among the computed polymorphs = 82 meV per atom

Cell and atoms, written as POSCAR:
```
LiMg3Ga4
1.0
3.086 0.000 0.000
0.000 6.923 -0.291
-1.543 -1.980 7.658
Ga Li Mg
4 1 3
direct
0.621 0.798 0.242
0.342 0.546 0.683
0.379 0.202 0.758
0.658 0.454 0.317
0.500 0.000 0.000
0.804 0.853 0.609
0.000 0.500 0.000
0.196 0.147 0.391
```

=====

17.
A relaxed Li2MgGa crystal, computed with GGA-PBE.

Energy relative to the elements = -0.238 eV per atom
Total DFT energy (no corrections) = -0.173 Ry/atom
M_tot = 0.00 μB/f.u.

Cell and atoms, written as POSCAR:
```
Li2MgGa
1.0
4.615 0.000 0.000
2.308 3.997 0.000
2.308 1.332 3.769
Mg Ga Li
1 1 2
direct
0.000 0.000 0.000
0.750 0.750 0.750
0.500 0.500 0.500
0.250 0.250 0.250
```

=====

18.
A relaxed LiMg2Ga6 crystal, computed with GGA-PBE.

Energy relative to the elements = -0.003 eV per atom
Total DFT energy (no corrections) = -0.190 Ry/atom
M_tot = 0.00 μB/f.u.
Relative energy among the computed polymorphs = 136 meV per atom

Cell and atoms, written as POSCAR:
```
LiMg2Ga6
1.0
4.043 0.000 -0.188
0.000 7.180 0.000
-1.840 -3.590 6.292
Ga Li Mg
6 1 2
direct
0.500 0.807 0.000
0.169 0.969 0.343
0.500 0.193 0.000
0.169 0.374 0.343
0.831 0.031 0.657
0.831 0.626 0.657
0.000 0.000 0.000
0.372 0.367 0.733
0.628 0.633 0.267
```

=====

19.
A relaxed Li7Mg3Ga crystal, computed with GGA-PBE.

Energy relative to the elements = -0.007 eV per atom
Total DFT energy (no corrections) = -0.142 Ry/atom
M_tot = 0.00 μB/f.u.
Relative energy among the computed polymorphs = 21 meV per atom

Cell and atoms, written as POSCAR:
```
Li7Mg3Ga
1.0
-4.552 -5.630 -0.560
0.846 -0.093 -5.944
3.562 -3.237 3.591
Mg Li Ga
3 7 1
direct
0.780 0.499 0.501
0.780 0.002 0.501
0.780 0.499 0.998
0.113 0.667 0.333
0.448 0.835 0.165
0.125 0.660 0.830
0.448 0.329 0.165
0.125 0.170 0.340
0.448 0.835 0.671
0.125 0.170 0.830
0.441 0.333 0.667
```

=====

20.
A relaxed Li5Mg12Ga2 crystal, computed with GGA-PBE.

Energy relative to the elements = -0.057 eV per atom
Total DFT energy (no corrections) = -0.139 Ry/atom
M_tot = 0.00 μB/f.u.

Cell and atoms, written as POSCAR:
```
Li5Mg12Ga2
1.0
9.463 0.000 0.000
-4.731 5.496 1.559
0.000 -0.507 7.431
Mg Li Ga
12 5 2
direct
0.428 0.856 0.707
0.850 0.211 0.614
0.150 0.789 0.386
0.374 0.353 0.196
0.572 0.144 0.293
0.979 0.353 0.196
0.361 0.211 0.614
0.626 0.647 0.804
0.867 0.733 0.125
0.133 0.267 0.875
0.639 0.789 0.386
0.021 0.647 0.804
0.629 0.258 0.902
0.248 0.495 0.480
0.752 0.505 0.520
0.000 0.000 0.500
0.371 0.742 0.098
0.264 0.000 0.000
0.736 0.000 0.000
```

=====

21.
A relaxed Li7Mg3Ga crystal, computed with GGA-PBE.

Energy relative to the elements = -0.028 eV per atom
Total DFT energy (no corrections) = -0.144 Ry/atom
M_tot = 0.00 μB/f.u.
Relative energy among the computed polymorphs = 0 meV per atom

Cell and atoms, written as POSCAR:
```
Li7Mg3Ga
1.0
-1.347 0.499 2.555
-8.119 -3.474 -5.282
2.999 -13.392 4.197
Ga Li Mg
2 14 6
direct
0.969 0.938 0.250
0.031 0.062 0.750
0.631 0.262 0.656
0.411 0.821 0.750
0.256 0.513 0.423
0.589 0.179 0.250
0.493 0.986 0.092
0.369 0.738 0.156
0.631 0.262 0.844
0.507 0.014 0.908
0.744 0.487 0.923
0.256 0.513 0.077
0.493 0.986 0.408
0.369 0.738 0.344
0.744 0.487 0.577
0.507 0.014 0.592
0.265 0.530 0.750
0.735 0.470 0.250
0.879 0.759 0.543
0.121 0.241 0.457
0.121 0.241 0.043
0.879 0.759 0.957
```